(1)
BaAuN2 | PBE | optimized geometry

The value obtained for the energy is -4.95 eV per atom. Its density of states at the Fermi level is 0.907 states/eV/atom. The magnetic moment comes out at 0.9 μB/f.u. The offset from the most stable computed form is 0.870 eV per atom. For the formation energy without anion corrections, the calculation gives 0.5098 eV per atom.

The space group is R-3m (No. 166, hexagonal axes) and the conventional cell measures 4.4274, 4.4274 and 18.0485 Å, with angles of 90.00, 90.00 and 120.00 degrees. Symmetry generates all atoms from Ba at (0.0000, 0.0000, 0.0000), Au at (0.0000, 0.0000, 0.5000) and N at (0.0000, 0.0000, 0.3967).

(2)
Ba5Au2N2 | PBE | optimized geometry

The value obtained for the energy is -4.16 eV per atom. Its density of states at the Fermi level is 0.436 states/eV/atom. The magnetic moment comes out at 0.0 μB/f.u. For the formation energy without anion corrections, the calculation gives -0.5091 eV per atom.

The space group is C2/m (No. 12) and the conventional cell measures 17.436, 4.750 and 7.800 Å, with angles of 90.00, 95.36 and 90.00 degrees. Symmetry generates all atoms from Ba at (0.000, 0.000, 0.000), Ba at (0.121, 0.000, 0.601), Ba at (0.180, 0.500, 0.079), Au at (0.021, 0.500, 0.326) and N at (0.160, 0.000, 0.915).

(3)
Ba6AuN2 | PBE | optimized geometry

The value obtained for the energy is -3.88 eV per atom. Its density of states at the Fermi level is 0.556 states/eV/atom. The magnetic moment comes out at 0.0 μB/f.u. The offset from the most stable computed form is 0.009 eV per atom. For the formation energy without anion corrections, the calculation gives -0.3799 eV per atom.

The space group is C2/m (No. 12) and the conventional cell measures 15.192, 4.257 and 12.583 Å, with angles of 90.00, 115.77 and 90.00 degrees. Symmetry generates all atoms from Ba at (0.034, 0.000, 0.272), Ba at (0.179, 0.500, 0.130), Ba at (0.185, 0.500, 0.570), Au at (0.000, 0.000, 0.000) and N at (0.174, 0.500, 0.348).

(4)
Ba8AuN2 | PBE | optimized geometry

The value obtained for the energy is -3.54 eV per atom. Its density of states at the Fermi level is 0.716 states/eV/atom. The magnetic moment comes out at 0.0 μB/f.u. The offset from the most stable computed form is 0.000 eV per atom. For the formation energy without anion corrections, the calculation gives -0.3349 eV per atom.

The space group is C2/m (No. 12) and the conventional cell measures 16.063, 9.886 and 7.548 Å, with angles of 90.00, 93.20 and 90.00 degrees. Symmetry generates all atoms from Ba at (0.104, 0.210, 0.252), Ba at (0.163, 0.000, 0.806), Ba at (0.175, 0.500, 0.751), Au at (0.000, 0.000, 0.500) and N at (0.176, 0.000, 0.144).